[1]
! KHgOs2 | Alexandria | PBE | relaxed; values from VASP
&SYSTEM
  ibrav = 0, nat = 4, ntyp = 3
/
ATOMIC_SPECIES
Hg 200.59 Hg.upf
K 39.10 K.upf
Os 190.23 Os.upf
ATOMIC_POSITIONS crystal
Hg 0.000 0.000 0.477
K 0.500 0.500 0.763
Os 0.000 0.000 0.032
Os 0.500 0.500 0.228
CELL_PARAMETERS angstrom
-2.718 -0.243 -0.772
1.458 -2.402 0.385
-2.906 -0.118 10.269
! V: 76.4 Å³ per cell
! Formation enthalpy at 0 K: 0.98 eV per atom
! VASP energy: -19.92 eV/cell
! Total magnetization: 0.002 μB per formula unit

=====

[2]
! LiTaCuPt | Alexandria | PBE | relaxed; values from VASP
&SYSTEM
  ibrav = 0, nat = 4, ntyp = 4
/
ATOMIC_SPECIES
Li 6.94 Li.upf
Cu 63.55 Cu.upf
Pt 195.08 Pt.upf
Ta 180.95 Ta.upf
ATOMIC_POSITIONS crystal
Li 0.000 0.000 0.000
Cu 0.250 0.250 0.250
Pt 0.750 0.750 0.750
Ta 0.500 0.500 0.500
CELL_PARAMETERS angstrom
4.371 0.000 0.000
2.186 3.786 0.000
2.186 1.262 3.569
! V: 59.1 Å³ per cell
! Formation enthalpy at 0 K: -0.27 eV per atom
! VASP energy: -24.98 eV/cell
! Total magnetization: 0.000 μB per formula unit

=====

[3]
! CdCuSn2P | Alexandria | PBE | relaxed; values from VASP
&SYSTEM
  ibrav = 0, nat = 5, ntyp = 4
/
ATOMIC_SPECIES
P 30.97 P.upf
Sn 118.71 Sn.upf
Cu 63.55 Cu.upf
Cd 112.41 Cd.upf
ATOMIC_POSITIONS crystal
P 0.000 0.000 0.000
Sn 0.000 0.000 0.500
Sn 0.500 0.000 0.000
Cu 0.500 0.500 0.500
Cd 0.000 0.500 0.000
CELL_PARAMETERS angstrom
-2.549 -4.560 -1.035
0.553 -1.380 4.721
-4.638 2.315 1.221
! V: 140.4 Å³ per cell
! Formation enthalpy at 0 K: 0.68 eV per atom
! VASP energy: -15.04 eV/cell
! Total magnetization: 0.000 μB per formula unit

=====

[4]
! KPd2Ru | Alexandria | PBE | relaxed; values from VASP
&SYSTEM
  ibrav = 0, nat = 8, ntyp = 3
/
ATOMIC_SPECIES
Ru 101.07 Ru.upf
K 39.10 K.upf
Pd 106.42 Pd.upf
ATOMIC_POSITIONS crystal
Ru 0.000 0.000 0.000
Ru 0.750 0.250 0.500
K 0.500 0.500 0.000
K 0.250 0.750 0.500
Pd 0.681 0.125 0.250
Pd 0.069 0.625 0.250
Pd 0.375 0.319 0.750
Pd 0.875 0.931 0.750
CELL_PARAMETERS angstrom
7.666 0.000 0.000
0.000 7.666 0.000
3.833 3.833 2.999
! V: 176.2 Å³ per cell
! Energy relative to the lowest polymorph listed for this composition: 60.4 meV/atom
! Formation enthalpy at 0 K: 0.86 eV per atom
! VASP energy: -34.61 eV/cell
! Total magnetization: 2.929 μB per formula unit

=====

[5]
! PaHg2PbO6 | Alexandria | PBE | relaxed; values from VASP
&SYSTEM
  ibrav = 0, nat = 10, ntyp = 4
/
ATOMIC_SPECIES
Pa 231.04 Pa.upf
Hg 200.59 Hg.upf
Pb 207.20 Pb.upf
O 16.00 O.upf
ATOMIC_POSITIONS crystal
Pa 0.816 0.816 0.552
Hg 0.571 0.571 0.287
Hg 0.061 0.061 0.817
Pb 0.316 0.316 0.052
O 0.582 0.182 0.307
O 0.182 0.929 0.307
O 0.929 0.582 0.307
O 0.450 0.703 0.795
O 0.703 0.051 0.795
O 0.051 0.451 0.796
CELL_PARAMETERS angstrom
-2.547 -4.784 2.470
-1.834 -4.507 -3.436
3.199 -5.343 0.136
! V: 159.5 Å³ per cell
! Formation energy without anion corrections: -15.32 eV per formula unit
! VASP energy: -58.88 eV/cell
! Total magnetization: 0.000 μB per formula unit

=====

[6]
! Zn2InCl | Alexandria | PBE | relaxed; values from VASP
&SYSTEM
  ibrav = 0, nat = 4, ntyp = 3
/
ATOMIC_SPECIES
Cl 35.45 Cl.upf
In 114.82 In.upf
Zn 65.41 Zn.upf
ATOMIC_POSITIONS crystal
Cl 0.000 0.000 0.516
In 0.500 0.500 0.732
Zn 0.000 0.000 0.131
Zn 0.500 0.500 0.121
CELL_PARAMETERS angstrom
3.612 0.000 0.000
0.000 3.743 0.000
0.000 0.000 7.272
! V: 98.3 Å³ per cell
! Energy relative to the lowest polymorph listed for this composition: 36.7 meV/atom
! Formation energy without anion corrections: -0.65 eV per formula unit
! VASP energy: -7.79 eV/cell
! Total magnetization: 0.000 μB per formula unit

=====

[7]
! Eu2TlAg | Alexandria | PBE | relaxed; values from VASP
&SYSTEM
  ibrav = 0, nat = 4, ntyp = 3
/
ATOMIC_SPECIES
Eu 151.96 Eu.upf
Tl 204.38 Tl.upf
Ag 107.87 Ag.upf
ATOMIC_POSITIONS crystal
Eu 0.250 0.250 0.250
Eu 0.750 0.750 0.750
Tl 0.500 0.500 0.500
Ag 0.000 0.000 0.000
CELL_PARAMETERS angstrom
-4.422 -2.872 -1.609
-0.246 -5.429 0.923
-3.503 -2.001 3.756
! V: 118.5 Å³ per cell
! Energy relative to the lowest polymorph listed for this composition: 11.0 meV/atom
! Formation enthalpy at 0 K: -0.34 eV per atom
! VASP energy: -27.12 eV/cell
! Total magnetization: 14.415 μB per formula unit

=====

[8]
! CsV4Cl7 | Alexandria | PBE | relaxed; values from VASP
&SYSTEM
  ibrav = 0, nat = 24, ntyp = 3
/
ATOMIC_SPECIES
Cs 132.91 Cs.upf
V 50.94 V.upf
Cl 35.45 Cl.upf
ATOMIC_POSITIONS crystal
Cs 0.532 0.826 0.500
Cs 0.032 0.174 0.000
V 0.630 0.704 0.860
V 0.023 0.751 0.251
V 0.523 0.249 0.249
V 0.130 0.296 0.640
V 0.130 0.296 0.360
V 0.630 0.704 0.140
V 0.023 0.751 0.749
V 0.523 0.249 0.751
Cl 0.994 0.673 0.107
Cl 0.494 0.327 0.393
Cl 0.500 0.350 0.892
Cl 0.000 0.650 0.608
Cl 0.000 0.650 0.392
Cl 0.500 0.350 0.108
Cl 0.398 0.863 0.754
Cl 0.898 0.137 0.746
Cl 0.898 0.137 0.254
Cl 0.398 0.863 0.246
Cl 0.533 0.855 0.000
Cl 0.033 0.145 0.500
Cl 0.994 0.673 0.893
Cl 0.494 0.327 0.607
CELL_PARAMETERS angstrom
-3.653 1.698 -5.010
3.218 -3.757 -3.620
-10.224 -12.017 3.382
! V: 635.8 Å³ per cell
! Formation energy without anion corrections: -10.00 eV per formula unit
! VASP energy: -120.50 eV/cell
! Total magnetization: 14.004 μB per formula unit